Entry 1:
BaZnGeSe4: optimized geometry, PBE-GGA.

Cell lengths 11.513, 6.541, 6.541 Å; angles 121.88, 90.00, 90.00 degrees
Positions (direct):
Se1 0.087 0.026 0.516
Se2 0.587 0.516 0.026
Se3 0.250 0.323 0.140
Se4 0.250 0.674 0.841
Se5 0.913 0.516 0.026
Se6 0.750 0.841 0.674
Se7 0.750 0.140 0.323
Se8 0.413 0.026 0.516
Zn1 0.750 0.265 0.753
Zn2 0.250 0.753 0.265
Ge1 0.250 0.268 0.746
Ge2 0.750 0.746 0.268
Ba1 0.500 0.000 0.000
Ba2 0.000 0.000 0.000

Values from the calculation:
Crystal system: orthorhombic
Total DFT energy (no corrections) (eV/atom): -4.0657

Entry 2:
Ba2Zn2SiGe: optimized geometry, PBE-GGA.

Cell lengths 4.433, 4.433, 9.809 Å; angles 90.00, 90.00, 120.00 degrees
Positions (direct):
Ge1 0.333 0.667 0.000
Ba1 0.667 0.333 0.749
Ba2 0.667 0.333 0.252
Si1 0.000 0.000 0.500
Zn1 0.000 0.000 0.999
Zn2 0.333 0.667 0.500

Values from the calculation:
Crystal system: trigonal
Energy relative to the lowest polymorph listed for this composition (meV/atom): 0.0

Entry 3:
Ba2Zn2SiGe: optimized geometry, PBE-GGA.

Cell lengths 4.549, 4.549, 7.709 Å; angles 90.00, 90.00, 90.00 degrees
Positions (direct):
Ba1 0.000 0.000 0.185
Ba2 0.500 0.500 0.817
Zn1 0.500 0.000 0.503
Zn2 0.000 0.500 0.503
Ge1 0.500 0.500 0.309
Si1 0.000 0.000 0.684

Values from the calculation:
Crystal system: tetragonal
Energy relative to the lowest polymorph listed for this composition (meV/atom): 34.8

Entry 4:
Ba2Zn2SiGe: optimized geometry, PBE-GGA.

Cell lengths 4.442, 4.442, 9.776 Å; angles 90.00, 90.00, 120.00 degrees
Positions (direct):
Si1 0.667 0.333 0.500
Ba1 0.333 0.667 0.749
Ba2 0.333 0.667 0.251
Zn1 0.667 0.333 0.000
Zn2 0.000 0.000 0.500
Ge1 0.000 0.000 0.000

Values from the calculation:
Crystal system: hexagonal
Energy relative to the lowest polymorph listed for this composition (meV/atom): 0.2

The evaluated calculated volume for the records listed, in turn: 29.878; 27.827; 26.584; 27.840 A^3/atom.